one:
DFT (GGA-PBE) results for an optimized crystal structure of NdYFe.

Crystal system: tetragonal

a b c (Å): 3.4539 3.4539 6.9301
angles (deg): 104.43 104.43 90.00
Closest atoms and distances in Å follow each position.
Positions (direct):
Fe: 0.6639 0.6639 0.3278  4 Y 2.92, 4 Nd 2.98
Nd: 0.2959 0.2959 0.5918  4 Fe 2.98, 1 Y 3.32
Y: 0.0402 0.0402 0.0804  4 Fe 2.92

two:
DFT (GGA-PBE) results for an optimized crystal structure of NdYFe.

Crystal system: orthorhombic

a b c (Å): 7.0506 7.0333 7.3993
angles (deg): 90.00 90.00 120.08
Closest atoms and distances in Å follow each position.
Positions (direct):
Y: 0.7089 0.9178 0.7500  4 Fe 2.84-2.85
Y: 0.2911 0.0822 0.2500  4 Fe 2.84-2.85
Y: 0.7911 0.0822 0.2500  4 Fe 2.84-2.85
Y: 0.2089 0.9178 0.7500  4 Fe 2.84-2.85
Fe: 0.5901 0.1802 0.5412  1 Fe 2.28
Fe: 0.4099 0.8198 0.4588  1 Fe 2.28
Fe: 0.9099 0.8198 0.0412  1 Fe 2.28
Fe: 0.0901 0.1802 0.9588  1 Fe 2.28
Nd: 0.6987 0.3974 0.8864  2 Fe 2.81-2.88
Nd: 0.1987 0.3974 0.6136  2 Fe 2.81-2.88
Nd: 0.3013 0.6026 0.1136  2 Fe 2.81-2.88
Nd: 0.8013 0.6026 0.3864  2 Fe 2.81-2.88

two ends up most stable, edging out the next structure by 47 meV/atom.

one:
DFT (GGA-PBE) results for an optimized crystal structure of NdZr2Fe.

Crystal system: tetragonal

a b c (Å): 3.2773 3.2773 8.2884
angles (deg): 90.00 90.00 90.00
Closest atoms and distances in Å follow each position.
Positions (direct):
Zr: 0.0000 0.0000 0.8185  4 Fe 2.76, 1 Zr 3.01
Zr: 0.0000 0.0000 0.1815  4 Fe 2.76, 1 Zr 3.01
Nd: 0.5000 0.5000 0.5000  4 Nd 3.28, 8 Zr 3.51
Fe: 0.5000 0.5000 0.0000  8 Zr 2.76

two:
DFT (GGA-PBE) results for an optimized crystal structure of NdZr2Fe.

Crystal system: trigonal

a b c (Å): 3.3068 3.3068 10.1691
angles (deg): 80.64 80.64 60.00
Closest atoms and distances in Å follow each position.
Positions (direct):
Fe: 0.5000 0.5000 0.5000  6 Zr 2.57
Zr: 0.1094 0.1094 0.6719  3 Fe 2.57
Zr: 0.8906 0.8906 0.3281  3 Fe 2.57
Nd: 0.0000 0.0000 0.0000  2 Zr 3.28, 6 Nd 3.31

one ends up most stable, edging out the next structure by 255 meV/atom.

one:
DFT (GGA-PBE) results for an optimized crystal structure of Fe2Ni3.

Crystal system: orthorhombic

a b c (Å): 4.8058 4.8058 6.4420
angles (deg): 80.88 80.88 125.09
Closest atoms and distances in Å follow each position.
Positions (direct):
Ni: 0.0969 0.5133 0.7020  6 Fe 2.41-2.62, 5 Ni 2.47-2.65
Ni: 0.2153 0.7989 0.2980  6 Fe 2.41-2.62, 5 Ni 2.47-2.65
Ni: 0.5489 0.4653 0.7980  6 Fe 2.41-2.62, 5 Ni 2.47-2.65
Ni: 0.2633 0.3469 0.2020  6 Fe 2.41-2.62, 5 Ni 2.47-2.65
Ni: 0.6793 0.1793 0.5000  6 Fe 2.40-2.60, 4 Ni 2.47-2.65
Ni: 0.9293 0.9293 0.0000  6 Fe 2.40-2.60, 4 Ni 2.47-2.65
Fe: 0.6527 0.7084 0.3973  9 Ni 2.40-2.62, 2 Fe 2.58
Fe: 0.4584 0.9027 0.8973  9 Ni 2.40-2.62, 2 Fe 2.58
Fe: 0.8001 0.3557 0.1027  9 Ni 2.40-2.62, 2 Fe 2.58
Fe: 0.1057 0.0501 0.6027  9 Ni 2.40-2.62, 2 Fe 2.58

two:
DFT (GGA-PBE) results for an optimized crystal structure of Fe2Ni3.

Crystal system: trigonal

a b c (Å): 3.8861 3.8861 4.8698
angles (deg): 90.00 90.00 120.00
Closest atoms and distances in Å follow each position.
Positions (direct):
Ni: 0.3333 0.6667 0.3501  5 Fe 2.36-2.51
Ni: 0.0000 0.0000 0.0000  6 Fe 2.39
Ni: 0.6667 0.3333 0.6499  5 Fe 2.36-2.51
Fe: 0.3333 0.6667 0.8337  8 Ni 2.36-2.51
Fe: 0.6667 0.3333 0.1663  8 Ni 2.36-2.51

one ends up most stable, edging out the next structure by 276 meV/atom.